#a
## K2NaTa (GGA-PBE)

Data for a relaxed K2NaTa crystal.

Cell and atoms, written as CIF:
```
data_K2NaTa
_cell_length_a 9.752
_cell_length_b 9.752
_cell_length_c 7.018
_cell_angle_alpha 90.00
_cell_angle_beta 90.00
_cell_angle_gamma 90.00
_symmetry_space_group_name_H-M 'I -4 2 d'
_symmetry_Int_Tables_number 122
_symmetry_space_group_name_Hall 'I -4 2bw'
loop_
_atom_site_label
_atom_site_type_symbol
_atom_site_fract_x
_atom_site_fract_y
_atom_site_fract_z
K1 K 0.244 0.250 0.125
Na1 Na 0.000 0.000 0.000
Ta1 Ta 0.000 0.000 0.500
```

=====

#b
## K2NaTa (GGA-PBE)

Data for a relaxed K2NaTa crystal.

Cell and atoms, written as CIF:
```
data_K2NaTa
_cell_length_a 8.696
_cell_length_b 8.696
_cell_length_c 8.696
_cell_angle_alpha 90.00
_cell_angle_beta 90.00
_cell_angle_gamma 90.00
_symmetry_space_group_name_H-M 'F m -3 m'
_symmetry_Int_Tables_number 225
_symmetry_space_group_name_Hall '-F 4 2 3'
loop_
_atom_site_label
_atom_site_type_symbol
_atom_site_fract_x
_atom_site_fract_y
_atom_site_fract_z
K1 K 0.250 0.250 0.250
Na1 Na 0.000 0.000 0.000
Ta1 Ta 0.000 0.000 0.500
```

=====

Most stable: #b (next structure +8.9 kJ/mol of atoms)

=====

#a
## KNa3Tc (GGA-PBE)

Data for a relaxed KNa3Tc crystal.

Cell and atoms, written as CIF:
```
data_KNa3Tc
_cell_length_a 5.998
_cell_length_b 5.998
_cell_length_c 5.998
_cell_angle_alpha 90.00
_cell_angle_beta 90.00
_cell_angle_gamma 90.00
_symmetry_space_group_name_H-M 'P m -3 m'
_symmetry_Int_Tables_number 221
_symmetry_space_group_name_Hall '-P 4 2 3'
loop_
_atom_site_label
_atom_site_type_symbol
_atom_site_fract_x
_atom_site_fract_y
_atom_site_fract_z
K1 K 0.000 0.000 0.000
Na1 Na 0.000 0.500 0.500
Tc1 Tc 0.500 0.500 0.500
```

=====

#b
## KNa3Tc (GGA-PBE)

Data for a relaxed KNa3Tc crystal.

Cell and atoms, written as CIF:
```
data_KNa3Tc
_cell_length_a 5.873
_cell_length_b 5.873
_cell_length_c 5.873
_cell_angle_alpha 90.00
_cell_angle_beta 90.00
_cell_angle_gamma 90.00
_symmetry_space_group_name_H-M 'P m -3 m'
_symmetry_Int_Tables_number 221
_symmetry_space_group_name_Hall '-P 4 2 3'
loop_
_atom_site_label
_atom_site_type_symbol
_atom_site_fract_x
_atom_site_fract_y
_atom_site_fract_z
K1 K 0.000 0.000 0.000
Na1 Na 0.000 0.000 0.500
Tc1 Tc 0.500 0.500 0.500
```

=====

Most stable: #a (next structure +47.3 kJ/mol of atoms)

=====

#a
## K2NaTc (GGA-PBE)

Data for a relaxed K2NaTc crystal.

Cell and atoms, written as CIF:
```
data_K2NaTc
_cell_length_a 8.531
_cell_length_b 8.531
_cell_length_c 8.531
_cell_angle_alpha 90.00
_cell_angle_beta 90.00
_cell_angle_gamma 90.00
_symmetry_space_group_name_H-M 'F m -3 m'
_symmetry_Int_Tables_number 225
_symmetry_space_group_name_Hall '-F 4 2 3'
loop_
_atom_site_label
_atom_site_type_symbol
_atom_site_fract_x
_atom_site_fract_y
_atom_site_fract_z
K1 K 0.250 0.250 0.250
Na1 Na 0.000 0.000 0.000
Tc1 Tc 0.000 0.000 0.500
```

=====

#b
## K2NaTc (GGA-PBE)

Data for a relaxed K2NaTc crystal.

Cell and atoms, written as CIF:
```
data_K2NaTc
_cell_length_a 5.043
_cell_length_b 5.043
_cell_length_c 25.033
_cell_angle_alpha 90.00
_cell_angle_beta 90.00
_cell_angle_gamma 90.00
_symmetry_space_group_name_H-M 'I -4 2 d'
_symmetry_Int_Tables_number 122
_symmetry_space_group_name_Hall 'I -4 2bw'
loop_
_atom_site_label
_atom_site_type_symbol
_atom_site_fract_x
_atom_site_fract_y
_atom_site_fract_z
K1 K 0.240 0.250 0.125
Na1 Na 0.000 0.000 0.500
Tc1 Tc 0.000 0.000 0.000
```

=====

Most stable: #a (next structure +11.7 kJ/mol of atoms)

=====

#a
## KNa2Ti (GGA-PBE)

Data for a relaxed KNa2Ti crystal.

Cell and atoms, written as CIF:
```
data_KNa2Ti
_cell_length_a 8.335
_cell_length_b 8.335
_cell_length_c 8.335
_cell_angle_alpha 90.00
_cell_angle_beta 90.00
_cell_angle_gamma 90.00
_symmetry_space_group_name_H-M 'F m -3 m'
_symmetry_Int_Tables_number 225
_symmetry_space_group_name_Hall '-F 4 2 3'
loop_
_atom_site_label
_atom_site_type_symbol
_atom_site_fract_x
_atom_site_fract_y
_atom_site_fract_z
K1 K 0.000 0.000 0.000
Na1 Na 0.250 0.250 0.250
Ti1 Ti 0.000 0.000 0.500
```

=====

#b
## KNa2Ti (GGA-PBE)

Data for a relaxed KNa2Ti crystal.

Cell and atoms, written as CIF:
```
data_KNa2Ti
_cell_length_a 9.266
_cell_length_b 9.266
_cell_length_c 7.234
_cell_angle_alpha 90.00
_cell_angle_beta 90.00
_cell_angle_gamma 90.00
_symmetry_space_group_name_H-M 'I -4 2 d'
_symmetry_Int_Tables_number 122
_symmetry_space_group_name_Hall 'I -4 2bw'
loop_
_atom_site_label
_atom_site_type_symbol
_atom_site_fract_x
_atom_site_fract_y
_atom_site_fract_z
K1 K 0.000 0.000 0.000
Na1 Na 0.227 0.250 0.625
Ti1 Ti 0.000 0.000 0.500
```

=====

Most stable: #a (next structure +8.3 kJ/mol of atoms)

=====

#a
## K2Na7Tl (GGA-PBE)

Data for a relaxed K2Na7Tl crystal.

Cell and atoms, written as CIF:
```
data_K2Na7Tl
_cell_length_a 5.109
_cell_length_b 5.109
_cell_length_c 16.344
_cell_angle_alpha 90.00
_cell_angle_beta 90.00
_cell_angle_gamma 90.00
_symmetry_space_group_name_H-M 'P -4 m 2'
_symmetry_Int_Tables_number 115
loop_
_symmetry_equiv_pos_as_xyz
'x,y,z'
'y,-x,-z'
'-x,-y,z'
'-y,x,-z'
'-x,y,z'
'-y,-x,-z'
'x,-y,z'
'y,x,-z'
loop_
_atom_site_label
_atom_site_type_symbol
_atom_site_fract_x
_atom_site_fract_y
_atom_site_fract_z
K1 K 0.000 0.500 0.226
Na1 Na 0.000 0.000 0.000
Na2 Na 0.000 0.000 0.500
Na3 Na 0.000 0.500 0.655
Na4 Na 0.000 0.500 0.870
Na5 Na 0.500 0.500 0.500
Tl1 Tl 0.500 0.500 0.000
```

=====

#b
## K2Na7Tl (GGA-PBE)

Data for a relaxed K2Na7Tl crystal.

Cell and atoms, written as CIF:
```
data_K2Na7Tl
_cell_length_a 12.417
_cell_length_b 12.417
_cell_length_c 12.417
_cell_angle_alpha 90.00
_cell_angle_beta 90.00
_cell_angle_gamma 90.00
_symmetry_space_group_name_H-M 'F m -3 m'
_symmetry_Int_Tables_number 225
_symmetry_space_group_name_Hall '-F 4 2 3'
loop_
_atom_site_label
_atom_site_type_symbol
_atom_site_fract_x
_atom_site_fract_y
_atom_site_fract_z
K1 K 0.250 0.250 0.250
Na1 Na 0.000 0.000 0.000
Na2 Na 0.000 0.000 0.257
Tl1 Tl 0.000 0.000 0.500
```

=====

Most stable: #a (next structure +3.1 kJ/mol of atoms)

=====

#a
## KNa12Tl6 (GGA-PBE)

Data for a relaxed KNa12Tl6 crystal.

Cell and atoms, written as CIF:
```
data_KNa12Tl6
_cell_length_a 14.3551
_cell_length_b 14.3551
_cell_length_c 10.9729
_cell_angle_alpha 90.00
_cell_angle_beta 90.00
_cell_angle_gamma 120.00
_symmetry_space_group_name_H-M 'R -3 m'
_symmetry_Int_Tables_number 166
_symmetry_space_group_name_Hall '-R 3 2"'
loop_
_atom_site_label
_atom_site_type_symbol
_atom_site_fract_x
_atom_site_fract_y
_atom_site_fract_z
K1 K 0.0000 0.0000 0.0000
Na1 Na 0.0000 0.3851 0.5000
Na2 Na 0.0908 0.1816 0.2946
Tl1 Tl 0.0727 0.5363 0.2383
```

=====

#b
## KNa12Tl6 (GGA-PBE)

Data for a relaxed KNa12Tl6 crystal.

Cell and atoms, written as CIF:
```
data_KNa12Tl6
_cell_length_a 11.9735
_cell_length_b 11.9735
_cell_length_c 14.8144
_cell_angle_alpha 90.00
_cell_angle_beta 90.00
_cell_angle_gamma 120.00
_symmetry_space_group_name_H-M 'R -3'
_symmetry_Int_Tables_number 148
_symmetry_space_group_name_Hall '-R 3'
loop_
_atom_site_label
_atom_site_type_symbol
_atom_site_fract_x
_atom_site_fract_y
_atom_site_fract_z
K1 K 0.0000 0.0000 0.0000
Na1 Na 0.0286 0.2001 0.8096
Na2 Na 0.0591 0.8389 0.4155
Tl1 Tl 0.0106 0.4297 0.6959
```

=====

Most stable: #b (next structure +3.2 kJ/mol of atoms)

=====

#a
## KNa3Tl (GGA-PBE)

Data for a relaxed KNa3Tl crystal.

Cell and atoms, written as CIF:
```
data_KNa3Tl
_cell_length_a 6.325
_cell_length_b 6.325
_cell_length_c 6.325
_cell_angle_alpha 90.00
_cell_angle_beta 90.00
_cell_angle_gamma 90.00
_symmetry_space_group_name_H-M 'P m -3 m'
_symmetry_Int_Tables_number 221
_symmetry_space_group_name_Hall '-P 4 2 3'
loop_
_atom_site_label
_atom_site_type_symbol
_atom_site_fract_x
_atom_site_fract_y
_atom_site_fract_z
K1 K 0.000 0.000 0.000
Na1 Na 0.000 0.000 0.500
Tl1 Tl 0.500 0.500 0.500
```

=====

#b
## KNa3Tl (GGA-PBE)

Data for a relaxed KNa3Tl crystal.

Cell and atoms, written as CIF:
```
data_KNa3Tl
_cell_length_a 6.086
_cell_length_b 6.086
_cell_length_c 6.086
_cell_angle_alpha 90.00
_cell_angle_beta 90.00
_cell_angle_gamma 90.00
_symmetry_space_group_name_H-M 'P m -3 m'
_symmetry_Int_Tables_number 221
_symmetry_space_group_name_Hall '-P 4 2 3'
loop_
_atom_site_label
_atom_site_type_symbol
_atom_site_fract_x
_atom_site_fract_y
_atom_site_fract_z
K1 K 0.000 0.000 0.000
Na1 Na 0.000 0.500 0.500
Tl1 Tl 0.500 0.500 0.500
```

=====

#c
## KNa3Tl (GGA-PBE)

Data for a relaxed KNa3Tl crystal.

Cell and atoms, written as CIF:
```
data_KNa3Tl
_cell_length_a 18.123
_cell_length_b 11.578
_cell_length_c 7.697
_cell_angle_alpha 90.00
_cell_angle_beta 101.49
_cell_angle_gamma 90.00
_symmetry_space_group_name_H-M 'C 1 2/c 1'
_symmetry_Int_Tables_number 15
loop_
_symmetry_equiv_pos_as_xyz
'x,y,z'
'-x,-y,-z'
'-x,y,-z+1/2'
'x,-y,z+1/2'
'x+1/2,y+1/2,z'
'-x+1/2,-y+1/2,-z'
'-x+1/2,y+1/2,-z+1/2'
'x+1/2,-y+1/2,z+1/2'
loop_
_atom_site_label
_atom_site_type_symbol
_atom_site_fract_x
_atom_site_fract_y
_atom_site_fract_z
K1 K 0.000 0.031 0.250
K2 K 0.000 0.362 0.750
Na1 Na 0.177 0.499 0.097
Na2 Na 0.178 0.164 0.079
Na3 Na 0.191 0.162 0.602
Tl1 Tl 0.085 0.322 0.311
```

=====

Most stable: #c (next structure +4.4 kJ/mol of atoms)

=====

#a
## K2NaTl (GGA-PBE)

Data for a relaxed K2NaTl crystal.

Cell and atoms, written as CIF:
```
data_K2NaTl
_cell_length_a 10.033
_cell_length_b 10.033
_cell_length_c 7.265
_cell_angle_alpha 90.00
_cell_angle_beta 90.00
_cell_angle_gamma 90.00
_symmetry_space_group_name_H-M 'I -4 2 d'
_symmetry_Int_Tables_number 122
_symmetry_space_group_name_Hall 'I -4 2bw'
loop_
_atom_site_label
_atom_site_type_symbol
_atom_site_fract_x
_atom_site_fract_y
_atom_site_fract_z
K1 K 0.236 0.250 0.125
Na1 Na 0.000 0.000 0.500
Tl1 Tl 0.000 0.000 0.000
```

=====

#b
## K2NaTl (GGA-PBE)

Data for a relaxed K2NaTl crystal.

Cell and atoms, written as CIF:
```
data_K2NaTl
_cell_length_a 4.1262
_cell_length_b 4.1262
_cell_length_c 37.7329
_cell_angle_alpha 90.00
_cell_angle_beta 90.00
_cell_angle_gamma 120.00
_symmetry_space_group_name_H-M 'R 3 m'
_symmetry_Int_Tables_number 160
_symmetry_space_group_name_Hall 'R 3 -2"'
loop_
_atom_site_label
_atom_site_type_symbol
_atom_site_fract_x
_atom_site_fract_y
_atom_site_fract_z
K1 K 0.0000 0.0000 0.0000
K2 K 0.0000 0.0000 0.1819
Na1 Na 0.0000 0.0000 0.4244
Tl1 Tl 0.0000 0.0000 0.5909
```

=====

#c
## K2NaTl (GGA-PBE)

Data for a relaxed K2NaTl crystal.

Cell and atoms, written as CIF:
```
data_K2NaTl
_cell_length_a 8.921
_cell_length_b 8.921
_cell_length_c 8.921
_cell_angle_alpha 90.00
_cell_angle_beta 90.00
_cell_angle_gamma 90.00
_symmetry_space_group_name_H-M 'F m -3 m'
_symmetry_Int_Tables_number 225
_symmetry_space_group_name_Hall '-F 4 2 3'
loop_
_atom_site_label
_atom_site_type_symbol
_atom_site_fract_x
_atom_site_fract_y
_atom_site_fract_z
K1 K 0.250 0.250 0.250
Na1 Na 0.000 0.000 0.000
Tl1 Tl 0.000 0.000 0.500
```

=====

Most stable: #c (next structure +3.5 kJ/mol of atoms)

=====

#a
## K2NaTl (GGA-PBE)

Data for a relaxed K2NaTl crystal.

Cell and atoms, written as CIF:
```
data_K2NaTl
_cell_length_a 12.018
_cell_length_b 7.922
_cell_length_c 4.174
_cell_angle_alpha 90.00
_cell_angle_beta 110.21
_cell_angle_gamma 90.00
_symmetry_space_group_name_H-M 'C 1 2 1'
_symmetry_Int_Tables_number 5
loop_
_symmetry_equiv_pos_as_xyz
'x,y,z'
'-x,y,-z'
'x+1/2,y+1/2,z'
'-x+1/2,y+1/2,-z'
loop_
_atom_site_label
_atom_site_type_symbol
_atom_site_fract_x
_atom_site_fract_y
_atom_site_fract_z
K1 K 0.197 0.000 0.197
Na1 Na 0.000 0.580 0.000
Tl1 Tl 0.000 0.272 0.500
```

=====

#b
## K2NaTl (GGA-PBE)

Data for a relaxed K2NaTl crystal.

Cell and atoms, written as CIF:
```
data_K2NaTl
_cell_length_a 13.381
_cell_length_b 5.496
_cell_length_c 11.292
_cell_angle_alpha 90.00
_cell_angle_beta 114.30
_cell_angle_gamma 90.00
_symmetry_space_group_name_H-M 'C 1 m 1'
_symmetry_Int_Tables_number 8
loop_
_symmetry_equiv_pos_as_xyz
'x,y,z'
'x,-y,z'
'x+1/2,y+1/2,z'
'x+1/2,-y+1/2,z'
loop_
_atom_site_label
_atom_site_type_symbol
_atom_site_fract_x
_atom_site_fract_y
_atom_site_fract_z
K1 K 0.000 0.000 0.000
K2 K 0.035 0.000 0.445
K3 K 0.104 0.500 0.761
K4 K 0.330 0.000 0.143
Na1 Na 0.194 0.500 0.311
Na2 Na 0.313 0.000 0.758
Tl1 Tl 0.331 0.000 0.470
Tl2 Tl 0.353 0.500 0.630
```

=====

Most stable: #b (next structure +3.6 kJ/mol of atoms)

=====

#a
## K2NaTl (GGA-PBE)

Data for a relaxed K2NaTl crystal.

Cell and atoms, written as CIF:
```
data_K2NaTl
_cell_length_a 3.9956
_cell_length_b 3.9956
_cell_length_c 41.6564
_cell_angle_alpha 90.00
_cell_angle_beta 90.00
_cell_angle_gamma 120.00
_symmetry_space_group_name_H-M 'R -3 m'
_symmetry_Int_Tables_number 166
_symmetry_space_group_name_Hall '-R 3 2"'
loop_
_atom_site_label
_atom_site_type_symbol
_atom_site_fract_x
_atom_site_fract_y
_atom_site_fract_z
K1 K 0.0000 0.0000 0.0847
Na1 Na 0.0000 0.0000 0.5000
Tl1 Tl 0.0000 0.0000 0.0000
```

=====

#b
## K2NaTl (GGA-PBE)

Data for a relaxed K2NaTl crystal.

Cell and atoms, written as CIF:
```
data_K2NaTl
_cell_length_a 5.833
_cell_length_b 5.833
_cell_length_c 5.146
_cell_angle_alpha 90.00
_cell_angle_beta 90.00
_cell_angle_gamma 90.00
_symmetry_space_group_name_H-M 'P 4/m m m'
_symmetry_Int_Tables_number 123
_symmetry_space_group_name_Hall '-P 4 2'
loop_
_atom_site_label
_atom_site_type_symbol
_atom_site_fract_x
_atom_site_fract_y
_atom_site_fract_z
K1 K 0.000 0.500 0.000
Na1 Na 0.000 0.000 0.500
Tl1 Tl 0.500 0.500 0.500
```

=====

Most stable: #b (next structure +14.1 kJ/mol of atoms)

=====

#a
## K3NaTl (GGA-PBE)

Data for a relaxed K3NaTl crystal.

Cell and atoms, written as CIF:
```
data_K3NaTl
_cell_length_a 14.504
_cell_length_b 14.504
_cell_length_c 5.018
_cell_angle_alpha 90.00
_cell_angle_beta 90.00
_cell_angle_gamma 90.00
_symmetry_space_group_name_H-M 'P 42/m n m'
_symmetry_Int_Tables_number 136
_symmetry_space_group_name_Hall '-P 4n 2n'
loop_
_atom_site_label
_atom_site_type_symbol
_atom_site_fract_x
_atom_site_fract_y
_atom_site_fract_z
K1 K 0.020 0.325 0.000
K2 K 0.116 0.884 0.500
Na1 Na 0.184 0.184 0.500
Tl1 Tl 0.077 0.077 0.000
```

=====

#b
## K3NaTl (GGA-PBE)

Data for a relaxed K3NaTl crystal.

Cell and atoms, written as CIF:
```
data_K3NaTl
_cell_length_a 6.828
_cell_length_b 6.828
_cell_length_c 6.828
_cell_angle_alpha 90.00
_cell_angle_beta 90.00
_cell_angle_gamma 90.00
_symmetry_space_group_name_H-M 'P m -3 m'
_symmetry_Int_Tables_number 221
_symmetry_space_group_name_Hall '-P 4 2 3'
loop_
_atom_site_label
_atom_site_type_symbol
_atom_site_fract_x
_atom_site_fract_y
_atom_site_fract_z
K1 K 0.000 0.000 0.500
Na1 Na 0.500 0.500 0.500
Tl1 Tl 0.000 0.000 0.000
```

=====

Most stable: #a (next structure +15.1 kJ/mol of atoms)